[1]
Here is a geometry-optimized TbFeSb3 structure from Alexandria. Energies are from PBE-GGA.

## Properties
The space group is Pbcm (57). For the total energy, the calculation gives -5.56 eV per atom.

Cell and atoms, written as POSCAR:
```
TbFeSb3
1.0
12.4331 0.0000 0.0000
0.0000 6.1479 0.0000
0.0000 0.0000 12.0633
Tb Fe Sb
8 8 24
direct
0.1946 0.2208 0.2500
0.1946 0.2792 0.7500
0.2006 0.7500 0.0000
0.2006 0.7500 0.5000
0.7994 0.2500 0.0000
0.7994 0.2500 0.5000
0.8054 0.7208 0.2500
0.8054 0.7792 0.7500
0.3962 0.0358 0.6384
0.3962 0.0358 0.8616
0.3962 0.4642 0.1384
0.3962 0.4642 0.3616
0.6038 0.5358 0.6384
0.6038 0.5358 0.8616
0.6038 0.9642 0.1384
0.6038 0.9642 0.3616
0.0030 0.0144 0.6237
0.0030 0.0144 0.8763
0.0030 0.4856 0.1237
0.0030 0.4856 0.3763
0.2760 0.2500 0.0000
0.2760 0.2500 0.5000
0.2792 0.7348 0.2500
0.2792 0.7652 0.7500
0.4419 0.1149 0.2500
0.4419 0.3851 0.7500
0.4719 0.7500 0.0000
0.4719 0.7500 0.5000
0.5281 0.2500 0.0000
0.5281 0.2500 0.5000
0.5581 0.6149 0.2500
0.5581 0.8851 0.7500
0.7208 0.2348 0.2500
0.7208 0.2652 0.7500
0.7240 0.7500 0.0000
0.7240 0.7500 0.5000
0.9970 0.5144 0.6237
0.9970 0.5144 0.8763
0.9970 0.9856 0.1237
0.9970 0.9856 0.3763
```

---

[2]
Here is a geometry-optimized FeTcSb structure from Alexandria. Energies are from PBE-GGA.

## Properties
The space group is F-43m (216). For the total energy, the calculation gives -7.47 eV per atom.

Cell and atoms, written as POSCAR:
```
FeTcSb
1.0
0.0000 2.9250 2.9250
2.9250 0.0000 2.9250
2.9250 2.9250 0.0000
Fe Tc Sb
1 1 1
direct
0.0000 0.0000 0.0000
0.2500 0.2500 0.2500
0.7500 0.7500 0.7500
```

---

[3]
Here is a geometry-optimized FeTc2Sb structure from Alexandria. Energies are from PBE-GGA.

## Properties
The space group is R3m (160). For the total energy, the calculation gives -7.93 eV per atom.

Cell and atoms, written as POSCAR:
```
FeTc2Sb
1.0
1.4701 0.8487 8.4752
-1.4701 0.8487 8.4752
0.0000 -1.6975 8.4752
Fe Tc Sb
1 2 1
direct
0.0000 0.0000 0.0000
0.2549 0.2549 0.2549
0.5081 0.5081 0.5081
0.7506 0.7506 0.7506
```

---

[4]
Here is a geometry-optimized FeTcSb3 structure from Alexandria. Energies are from PBE-GGA.

## Properties
The space group is Pm-3m (221). For the total energy, the calculation gives -5.00 eV per atom.

Cell and atoms, written as POSCAR:
```
FeTcSb3
1.0
5.1061 0.0000 0.0000
0.0000 5.1061 0.0000
0.0000 0.0000 5.1061
Fe Tc Sb
1 1 3
direct
0.0000 0.0000 0.0000
0.5000 0.5000 0.5000
0.0000 0.5000 0.5000
0.5000 0.0000 0.5000
0.5000 0.5000 0.0000
```

---

[5]
Here is a geometry-optimized FeTcSb3 structure from Alexandria. Energies are from PBE-GGA.

## Properties
The space group is Pm-3m (221). For the total energy, the calculation gives -5.30 eV per atom.

Cell and atoms, written as POSCAR:
```
FeTcSb3
1.0
4.9114 0.0000 0.0000
0.0000 4.9114 0.0000
0.0000 0.0000 4.9114
Fe Tc Sb
1 1 3
direct
0.0000 0.0000 0.0000
0.5000 0.5000 0.5000
0.0000 0.0000 0.5000
0.0000 0.5000 0.0000
0.5000 0.0000 0.0000
```

---

[6]
Here is a geometry-optimized FeTc2Sb structure from Alexandria. Energies are from PBE-GGA.

## Properties
The space group is C2/m (12). For the total energy, the calculation gives -8.08 eV per atom.

Cell and atoms, written as POSCAR:
```
FeTc2Sb
1.0
4.3679 -1.5011 0.0000
4.3679 1.5011 0.0000
-1.0298 0.0000 4.7690
Fe Tc Sb
1 2 1
direct
0.0000 0.0000 0.0000
0.2616 0.2616 0.7859
0.7384 0.7384 0.2141
0.5000 0.5000 0.5000
```

---

[7]
Here is a geometry-optimized FeTc2Sb structure from Alexandria. Energies are from PBE-GGA.

## Properties
The space group is P4mm (99). For the total energy, the calculation gives -8.08 eV per atom.

Cell and atoms, written as POSCAR:
```
FeTc2Sb
1.0
3.1424 0.0000 0.0000
0.0000 3.1424 0.0000
0.0000 0.0000 6.2181
Fe Tc Sb
1 2 1
direct
0.0000 0.0000 0.0000
0.0000 0.0000 0.5280
0.5000 0.5000 0.7752
0.5000 0.5000 0.2456
```

---

[8]
Here is a geometry-optimized FeTcSb4 structure from Alexandria. Energies are from PBE-GGA.

## Properties
The space group is F-43m (216). For the total energy, the calculation gives -4.65 eV per atom.

Cell and atoms, written as POSCAR:
```
FeTcSb4
1.0
0.0000 4.2701 4.2701
4.2701 0.0000 4.2701
4.2701 4.2701 0.0000
Fe Tc Sb
1 1 4
direct
0.0000 0.0000 0.0000
0.2500 0.2500 0.2500
0.1239 0.6254 0.6254
0.6254 0.1239 0.6254
0.6254 0.6254 0.1239
0.6254 0.6254 0.6254
```

---

[9]
Here is a geometry-optimized FeTc2Sb6 structure from Alexandria. Energies are from PBE-GGA.

## Properties
The space group is P-31m (162). For the total energy, the calculation gives -5.91 eV per atom.

Cell and atoms, written as POSCAR:
```
FeTc2Sb6
1.0
6.4735 0.0000 0.0000
-3.2368 5.6063 0.0000
0.0000 0.0000 5.7277
Fe Tc Sb
1 2 6
direct
0.0000 0.0000 0.0000
0.3333 0.6667 0.5000
0.6667 0.3333 0.5000
0.0000 0.3224 0.7648
0.0000 0.6776 0.2352
0.3224 0.0000 0.7648
0.3224 0.3224 0.2352
0.6776 0.0000 0.2352
0.6776 0.6776 0.7648
```

---

[10]
Here is a geometry-optimized FeTc2Sb structure from Alexandria. Energies are from PBE-GGA.

## Properties
The space group is I-4m2 (119). For the total energy, the calculation gives -8.10 eV per atom.

Cell and atoms, written as POSCAR:
```
FeTc2Sb
1.0
-1.9669 1.9669 3.9197
1.9669 -1.9669 3.9197
1.9669 1.9669 -3.9197
Fe Tc Sb
1 2 1
direct
0.0000 0.0000 0.0000
0.5000 0.5000 0.0000
0.7500 0.2500 0.5000
0.2500 0.7500 0.5000
```

---

[11]
Here is a geometry-optimized FeTcSb structure from Alexandria. Energies are from PBE-GGA.

## Properties
The space group is C2/m (12). For the total energy, the calculation gives -7.31 eV per atom.

Cell and atoms, written as POSCAR:
```
FeTcSb
1.0
3.1080 -2.0393 0.0000
3.1080 2.0393 0.0000
-0.1769 0.0000 9.2418
Fe Tc Sb
2 2 2
direct
0.2382 0.2382 0.4377
0.7618 0.7618 0.5623
0.4512 0.4512 0.6631
0.5488 0.5488 0.3369
0.1515 0.1515 0.1544
0.8485 0.8485 0.8456
```

---

[12]
Here is a geometry-optimized FeTcSb structure from Alexandria. Energies are from PBE-GGA.

## Properties
The space group is P3m1 (156). For the total energy, the calculation gives -7.30 eV per atom.

Cell and atoms, written as POSCAR:
```
FeTcSb
1.0
4.2875 0.0000 0.0000
-2.1437 3.7131 0.0000
0.0000 0.0000 2.9677
Fe Tc Sb
1 1 1
direct
0.0000 0.0000 0.0000
0.3333 0.6667 0.5035
0.6667 0.3333 0.0068
```

---

| no. | formation energy from raw total energies (meV/atom) | size of the total moment (μB/f.u.) | volume (A^3/atom) |
| --- | --- | --- | --- |
| 1 | -467 | 0.34 | 23.1 |
| 2 | 181 | 0.35 | 16.7 |
| 3 | 395 | 2.05 | 15.9 |
| 4 | 1237 | 0.04 | 26.6 |
| 5 | 943 | 0.93 | 23.7 |
| 6 | 246 | 2.45 | 15.6 |
| 7 | 245 | 2.47 | 15.4 |
| 8 | 1235 | 0.05 | 26.0 |
| 9 | 87 | 0.00 | 23.1 |
| 10 | 230 | 2.06 | 15.2 |
| 11 | 336 | 0.00 | 19.5 |
| 12 | 352 | 2.37 | 15.7 |